(1)
Entry from the Alexandria database: an optimized crystal structure of Li4Mn2Fe3Cu3O16 (GGA+U).

Output
Its raw total energy is -5.8716 eV/atom.

a b c (Å): 5.9473 5.9104 9.4454
angles (deg): 90.18 89.34 121.88
Last column: nearest neighbours and their distance in Å.
Atoms (fractional coordinates):
O1 0.8069 0.6460 0.0887  1 Mn 1.95, 1 Li 2.00, 1 Fe 2.00
O2 0.5097 0.4433 0.8477  1 Cu 1.91, 1 Li 2.00, 1 Mn 2.01, 1 Fe 2.04
O3 0.0102 0.0189 0.8008  1 Li 1.82, 1 Cu 1.85, 2 Fe 1.93-1.98
O4 0.0186 0.0061 0.2970  1 Li 1.83, 2 Cu 1.86-1.89, 1 Fe 1.99
O5 0.8521 0.1671 0.0972  1 Cu 1.90, 1 Li 1.98, 1 Mn 2.00, 1 Fe 2.06
O6 0.9665 0.4827 0.8397  1 Li 1.95, 2 Fe 1.96-2.07, 1 Mn 1.98
O7 0.3157 0.6587 0.1124  2 Cu 1.87-1.88, 1 Fe 1.99, 1 Li 2.01
O8 0.4433 0.5070 0.3473  1 Cu 1.93, 1 Li 2.01, 1 Mn 2.03, 1 Fe 2.03
O9 0.5669 0.0200 0.8560  1 Fe 1.89, 1 Mn 1.94, 1 Li 1.96
O10 0.5169 0.9750 0.3517  1 Mn 1.92, 1 Li 1.93, 1 Fe 2.05, 1 Cu 2.15
O11 0.0348 0.5755 0.3559  1 Cu 1.90, 1 Mn 1.94, 1 Li 1.99
O12 0.1242 0.3515 0.5856  1 Fe 1.90, 1 Li 1.92, 1 Mn 1.94
O13 0.1663 0.8560 0.5952  1 Cu 1.90, 1 Li 1.97, 1 Mn 1.98, 1 Fe 2.05
O14 0.3506 0.1375 0.0878  1 Cu 1.89, 1 Mn 1.92, 1 Li 1.92
O15 0.6543 0.3171 0.6116  1 Cu 1.86, 2 Fe 1.92-1.98, 1 Li 1.99
O16 0.6584 0.8342 0.6015  2 Fe 2.01-2.04, 1 Li 2.03, 1 Mn 2.03
Fe1 0.8316 0.1754 0.7131  6 O 1.89-2.01
Fe2 0.6606 0.8158 0.2111  6 O 1.99-2.06
Fe3 0.8219 0.6621 0.7130  6 O 1.98-2.07
Cu1 0.1868 0.8431 0.2127  4 O 1.88-1.90
Cu2 0.3379 0.1603 0.7134  4 O 1.85-1.91
Cu3 0.1555 0.3396 0.2150  4 O 1.86-1.93
Li1 0.6514 0.3412 0.4013  4 O 1.93-2.01
Li2 0.3324 0.6403 0.9006  4 O 1.95-2.01
Li3 0.0038 0.0204 0.4898  4 O 1.83-2.03
Li4 0.0188 0.0000 0.9929  4 O 1.82-2.00
Mn1 0.3254 0.6889 0.4851  6 O 1.92-2.03
Mn2 0.6787 0.3165 0.9838  6 O 1.92-2.01


(2)
Entry from the Alexandria database: an optimized crystal structure of BaCrSn2F8 (GGA+U).

Output
Its raw total energy is -5.4422 eV/atom.

a b c (Å): 4.4039 6.2566 7.8799
angles (deg): 88.79 98.25 90.86
Last column: nearest neighbours and their distance in Å.
Atoms (fractional coordinates):
F1 0.4938 0.2692 0.4792  1 Sn 2.19
F2 0.5062 0.7308 0.5208  1 Sn 2.19
F3 0.6112 0.8630 0.8739  1 Cr 2.04, 1 Sn 2.19
F4 0.0574 0.6613 0.7303  2 Sn 2.29-2.37
F5 0.9426 0.3387 0.2697  2 Sn 2.29-2.37
F6 0.0229 0.1876 0.7961  1 Cr 1.98
F7 0.3888 0.1370 0.1261  1 Cr 2.04, 1 Sn 2.19
F8 0.9771 0.8124 0.2039  1 Cr 1.98
Sn1 0.4272 0.4550 0.2384  4 F 2.19-2.37
Sn2 0.5728 0.5450 0.7616  4 F 2.19-2.37
Ba1 0.0000 0.0000 0.5000  8 F 2.62-2.80
Cr1 0.0000 0.0000 0.0000  4 F 1.98-2.04